WS2N: optimized geometry, PBE.

Cell: 6.4842 6.4842 6.4842 Å, 29.56 29.56 29.56°
With the nearest neighbours (Å) after each atom.
Sites, in units of the cell vectors:
S 0.9148 0.9148 0.9148  1 N 1.58
S 0.0852 0.0852 0.0852  1 N 1.58
W 0.5000 0.5000 0.5000  6 S 2.44
N 0.0000 0.0000 0.0000  2 S 1.58

Computed properties:
The uncorrected formation energy is 469 meV/atom. The calculation puts the volume at 59 Å³/cell. As for the size of the total moment: 0.0 μB/f.u.


W3SN: optimized geometry, PBE.

Cell: 4.1431 4.1431 4.1431 Å, 90.00 90.00 90.00°
With the nearest neighbours (Å) after each atom.
Sites, in units of the cell vectors:
S 0.5000 0.5000 0.5000  12 W 2.93
W 0.0000 0.5000 0.0000  2 N 2.07
W 0.0000 0.0000 0.5000  2 N 2.07
W 0.5000 0.0000 0.0000  2 N 2.07
N 0.0000 0.0000 0.0000  6 W 2.07

Computed properties:
The uncorrected formation energy is 595 meV/atom. The offset from the most stable computed form comes out at 0.000 eV per formula unit. The calculation puts the volume at 71 Å³/cell. As for the size of the total moment: 0.0 μB/f.u.


WS2N2: optimized geometry, PBE.

Cell: 3.8593 3.8593 5.1764 Å, 90.00 90.00 90.00°
With the nearest neighbours (Å) after each atom.
Sites, in units of the cell vectors:
S 0.5000 0.5000 0.5000  4 S 2.73
S 0.0000 0.0000 0.5000  2 W 2.59, 4 S 2.73
W 0.0000 0.0000 0.0000  4 N 1.93
N 0.0000 0.5000 0.0000  2 W 1.93
N 0.5000 0.0000 0.0000  2 W 1.93

Computed properties:
The uncorrected formation energy is 706 meV/atom. The offset from the most stable computed form comes out at 0.000 eV per formula unit. The calculation puts the volume at 77 Å³/cell. As for the size of the total moment: 0.8 μB/f.u.


WSN2: optimized geometry, PBE.

Cell: 6.5486 6.5486 6.5486 Å, 26.02 26.02 26.02°
With the nearest neighbours (Å) after each atom.
Sites, in units of the cell vectors:
S 0.0000 0.0000 0.0000  2 N 1.94
W 0.5000 0.5000 0.5000  6 N 2.10
N 0.8979 0.8979 0.8979  1 S 1.94, 3 W 2.10
N 0.1021 0.1021 0.1021  1 S 1.94, 3 W 2.10

Computed properties:
The uncorrected formation energy is 310 meV/atom. The calculation puts the volume at 48 Å³/cell. As for the size of the total moment: 0.0 μB/f.u.


WS2N: optimized geometry, PBE.

Cell: 5.1802 5.1802 6.0568 Å, 64.68 64.68 90.00°
With the nearest neighbours (Å) after each atom.
Sites, in units of the cell vectors:
S 0.5969 0.1250 0.2500  2 N 2.11, 2 W 2.28
S 0.1531 0.6250 0.2500  2 N 2.11, 2 W 2.28
S 0.3750 0.4031 0.7500  2 N 2.11, 2 W 2.28
S 0.8750 0.8469 0.7500  2 N 2.11, 2 W 2.28
W 0.0000 0.0000 0.0000  4 S 2.28
W 0.7500 0.2500 0.5000  4 S 2.28
N 0.5000 0.5000 0.0000  4 S 2.11
N 0.2500 0.7500 0.5000  4 S 2.11

Computed properties:
The uncorrected formation energy is 1033 meV/atom. The calculation puts the volume at 129 Å³/cell. As for the size of the total moment: 0.0 μB/f.u.


WS2N2: optimized geometry, PBE.

Cell: 3.7889 3.7889 3.8967 Å, 90.00 90.00 90.00°
With the nearest neighbours (Å) after each atom.
Sites, in units of the cell vectors:
S 0.0000 0.5000 0.0000  2 N 1.89
S 0.5000 0.0000 0.0000  2 N 1.89
W 0.5000 0.5000 0.5000  4 N 2.68, 8 S 2.72
N 0.0000 0.0000 0.0000  4 S 1.89, 2 N 1.95
N 0.0000 0.0000 0.5000  2 N 1.95

Computed properties:
The uncorrected formation energy is 1747 meV/atom. The offset from the most stable computed form comes out at 5.205 eV per formula unit. The calculation puts the volume at 56 Å³/cell. As for the size of the total moment: 0.0 μB/f.u.